Here is an optimized crystal structure of Ca2Be2CrO6 from Alexandria. Energies are from PBE with a Hubbard U.

**Magnetic moment**: 1.998 μB/f.u.
**Crystal system**: trigonal
**DFT total energy**: -6.805 eV per atom

The structure in CIF format:
```
data_Ca2Be2CrO6
_cell_length_a 5.2521
_cell_length_b 5.2521
_cell_length_c 15.1192
_cell_angle_alpha 90.00
_cell_angle_beta 90.00
_cell_angle_gamma 120.00
_space_group_name_H-M_alt 'R -3 m'
_space_group_IT_number 166
_space_group_name_Hall '-R 3 2"'
loop_
_atom_site_label
_atom_site_type_symbol
_atom_site_fract_x
_atom_site_fract_y
_atom_site_fract_z
Ca1 Ca 0.0000 0.0000 0.2111
Be1 Be 0.0000 0.0000 0.4135
Cr1 Cr 0.0000 0.0000 0.0000
O1 O 0.0013 0.5006 0.7483
```


Here is an optimized crystal structure of CaBeCrO4 from Alexandria. Energies are from PBE with a Hubbard U.

**Magnetic moment**: 2.000 μB/f.u.
**Crystal system**: monoclinic
**DFT total energy**: -6.917 eV per atom

The structure in CIF format:
```
data_CaBeCrO4
_cell_length_a 4.892
_cell_length_b 5.141
_cell_length_c 6.236
_cell_angle_alpha 90.00
_cell_angle_beta 107.94
_cell_angle_gamma 90.00
_space_group_name_H-M_alt 'P 1 21/m 1'
_space_group_IT_number 11
_space_group_name_Hall '-P 2yb'
loop_
_atom_site_label
_atom_site_type_symbol
_atom_site_fract_x
_atom_site_fract_y
_atom_site_fract_z
Ca1 Ca 0.225 0.250 0.438
Be1 Be 0.240 0.750 0.166
Cr1 Cr 0.299 0.250 0.957
O1 O 0.004 0.750 0.926
O2 O 0.045 0.750 0.330
O3 O 0.482 0.515 0.197
```